No. 1
Material: Er2BI
Method: DFT, PBE
State: relaxed

Space group: No. 166
Formation energy (no corrections): -0.6063 eV per atom

a = 7.738 Å, b = 7.738 Å, c = 7.738 Å
α = 29.35°, β = 29.35°, γ = 29.35°
Element x y z (fractional)
Er (0.224, 0.224, 0.224)
Er (0.776, 0.776, 0.776)
B (0.500, 0.500, 0.500)
I (0.000, 0.000, 0.000)

No. 2
Material: Cs3AcAg2Br9
Method: DFT, PBE
State: relaxed

Space group: No. 164
Formation energy (no corrections): -1.3563 eV per atom

a = 8.090 Å, b = 8.090 Å, c = 10.132 Å
α = 90.00°, β = 90.00°, γ = 120.00°
Element x y z (fractional)
Cs (0.000, 0.000, 0.000)
Cs (0.333, 0.667, 0.698)
Cs (0.667, 0.333, 0.302)
Ac (0.000, 0.000, 0.500)
Ag (0.333, 0.667, 0.145)
Ag (0.667, 0.333, 0.855)
Br (0.000, 0.500, 0.000)
Br (0.173, 0.345, 0.324)
Br (0.173, 0.827, 0.324)
Br (0.345, 0.173, 0.676)
Br (0.500, 0.000, 0.000)
Br (0.500, 0.500, 0.000)
Br (0.655, 0.827, 0.324)
Br (0.827, 0.173, 0.676)
Br (0.827, 0.655, 0.676)

No. 3
Material: SrTl
Method: DFT, PBE
State: relaxed

Space group: No. 44
Raw total energy: -2.335 eV per atom

a = 7.663 Å, b = 7.663 Å, c = 7.663 Å
α = 142.20°, β = 68.30°, γ = 125.43°
Element x y z (fractional)
Sr (0.000, 0.000, 0.000)
Sr (0.103, 0.792, 0.311)
Sr (0.481, 0.792, 0.689)
Tl (0.504, 0.504, 0.000)
Tl (0.634, 0.261, 0.373)
Tl (0.887, 0.261, 0.627)